Entry 1:
Computed, not measured: a geometry-optimized ScAs2P structure at the PBE level of DFT.

abc: 10.835 3.748 3.930
angles: 90.00 97.95 90.00
Space group C2/m (No. 12)
One atom of each set of equivalent atoms:
Sc (0.000, 0.000, 0.000) x2
As (0.235, 0.500, 0.783) x4
P (0.000, 0.500, 0.500) x2

Results
Its density of states at the Fermi level is 0.166 states/eV per atom. The value obtained for the raw total energy is -5.778 eV per atom. As for the volume: 19.8 Å³/atom. As for the magnetic moment: 0.000 μB/cell. The calculation puts the energy of formation at -50 kJ per mole of atoms. Its crystal system is monoclinic.

Entry 2:
Computed, not measured: a geometry-optimized Sc5AsP4 structure at the PBE level of DFT.

abc: 8.454 8.454 5.350
angles: 90.00 90.00 90.00
Space group I4/m (No. 87)
One atom of each set of equivalent atoms:
Sc (0.000, 0.000, 0.000) x2
Sc (0.102, 0.695, 0.500) x8
As (0.000, 0.000, 0.500) x2
P (0.101, 0.700, 0.000) x8

Results
Its density of states at the Fermi level is 0.146 states/eV per atom. The value obtained for the raw total energy is -7.259 eV per atom. As for the volume: 19.1 Å³/atom. As for the magnetic moment: 0.000 μB/cell. The calculation puts the energy of formation at -141 kJ per mole of atoms. Its crystal system is tetragonal.

Entry 3:
Computed, not measured: a geometry-optimized ScAs2P structure at the PBE level of DFT.

abc: 5.574 7.290 3.594
angles: 90.00 90.00 90.00
Space group Cmmm (No. 65)
One atom of each set of equivalent atoms:
Sc (0.000, 0.000, 0.000) x2
As (0.250, 0.250, 0.500) x4
P (0.000, 0.500, 0.000) x2

Results
Its density of states at the Fermi level is 0.707 states/eV per atom. The value obtained for the raw total energy is -5.544 eV per atom. As for the volume: 18.3 Å³/atom. As for the magnetic moment: 0.000 μB/cell. The calculation puts the energy of formation at -27 kJ per mole of atoms. Its crystal system is orthorhombic.

Entry 4:
Computed, not measured: a geometry-optimized Sc3As2P structure at the PBE level of DFT.

abc: 7.680 10.855 23.021
angles: 90.00 90.00 90.00
Space group Fddd (No. 70, origin choice 2)
One atom of each set of equivalent atoms:
Sc (0.118, 0.375, 0.375) x16
Sc (0.122, 0.372, 0.210) x32
As (0.125, 0.125, 0.376) x16
As (0.125, 0.125, 0.542) x16
P (0.125, 0.125, 0.042) x16

Results
Its density of states at the Fermi level is 0.103 states/eV per atom. The value obtained for the raw total energy is -7.030 eV per atom. As for the volume: 20.0 Å³/atom. As for the magnetic moment: 0.000 μB/cell. The calculation puts the energy of formation at -136 kJ per mole of atoms. Its crystal system is orthorhombic.